GGA-PBE La2Ho2Er2Tm, relaxed; formation enthalpy at 0 K = 0.152 eV per atom
1.0
3.471 0.000 0.000
-1.735 9.046 -0.807
0.000 -3.562 7.749
Er La Ho Tm
2 2 2 1
Direct
0.211 0.422 0.620 Er
0.789 0.578 0.380 Er
0.647 0.295 0.917 La
0.353 0.705 0.083 La
0.431 0.861 0.762 Ho
0.569 0.139 0.238 Ho
0.000 0.000 0.500 Tm